Here is crystalline Tb2Pm3Er at its relaxed geometry from OQMD via LeMat-Bulk. Energies are from PBE-GGA.

a = 6.243 Å, b = 6.243 Å, c = 11.589 Å
α = 90.00°, β = 90.00°, γ = 60.00°
Atoms (fractional coordinates):
1 Er 0.667 0.333 0.280
2 Er 0.333 0.667 0.780
3 Tb 0.000 0.667 0.280
4 Tb 0.333 0.000 0.280
5 Tb 0.667 0.000 0.780
6 Pm 0.000 0.000 0.030
7 Tb 0.000 0.333 0.780
8 Pm 0.666 0.666 0.030
9 Pm 0.334 0.334 0.030
10 Pm 0.666 0.666 0.530
11 Pm 0.000 0.000 0.530
12 Pm 0.334 0.334 0.530

Calculated values
The value obtained for the volume is 391.1 Å³/cell. For the spin magnetization, the calculation gives 0.00 μB per atom. Its space group is Cmcm, No. 63. The energy relative to the elements is -0.005 eV per atom.